# 1
Below is crystalline TaTiRh at its relaxed geometry, with properties calculated at the PBE-GGA level.

Summary:
ΔE to the lowest computed polymorph = 212 meV/atom
DFT formation energy = -0.2679 eV/atom
electronic total energy = -27.9 eV per cell
space group = P3m1 (156)

Lattice parameters (Å, degrees): 4.448 4.448 2.813 90.00 90.00 120.00
Fractional coordinates of all 3 atoms:
Ta 0.000 0.000 0.000
Ti 0.333 0.667 0.645
Rh 0.667 0.333 0.324


# 2
Below is crystalline Cs2CS at its relaxed geometry, with properties calculated at the PBE-GGA level.

Summary:
ΔE to the lowest computed polymorph = 0 meV/atom
electronic total energy = -11.5 eV per cell
space group = Fm-3m (225)
E_form (uncorrected) = 0.893 eV per atom

Lattice parameters (Å, degrees): 5.860 5.860 5.860 60.00 60.00 60.00
Fractional coordinates of all 4 atoms:
Cs 0.250 0.250 0.250
Cs 0.750 0.750 0.750
C 0.000 0.000 0.000
S 0.500 0.500 0.500


# 3
Below is crystalline LaSbIr at its relaxed geometry, with properties calculated at the PBE-GGA level.

Summary:
electronic total energy = -20.4 eV per cell
space group = P-6m2 (187)
E_form (uncorrected) = -0.818 eV per atom

Lattice parameters (Å, degrees): 4.564 4.564 4.179 90.00 90.00 120.00
Fractional coordinates of all 3 atoms:
La 0.000 0.000 0.000
Sb 0.667 0.333 0.500
Ir 0.333 0.667 0.500


# 4
Below is crystalline PmZnSO6 at its relaxed geometry, with properties calculated at the PBE-GGA level.

Summary:
electronic total energy = -54.0 eV per cell
space group = P312 (149)
E_form (uncorrected) = -1.562 eV per atom

Lattice parameters (Å, degrees): 5.006 5.006 4.875 90.00 90.00 120.00
Fractional coordinates of all 9 atoms:
Pm 0.000 0.000 0.000
Zn 0.333 0.667 0.500
S 0.667 0.333 0.500
O 0.400 0.056 0.701
O 0.400 0.344 0.299
O 0.656 0.056 0.299
O 0.656 0.600 0.701
O 0.944 0.344 0.701
O 0.944 0.600 0.299